No. 1
K2InPb3Au4 | PBE-GGA | relaxed

Summary:
volume: 29.3 Å³/atom
formation energy from the elements: -2.19 eV per formula unit
theoretical density: 9.092 g cm⁻³
DOS at the Fermi energy: 4.69 states/eV/f.u.
SG: P-4m2 (115)
magnetization: 0.000 μB per atom

The structure in POSCAR format:
```
K2InPb3Au4
1.0
5.203 0.000 0.000
0.000 5.203 0.000
0.000 0.000 10.810
Pb Au K In
3 4 2 1
Direct
0.000 0.500 0.118
0.000 0.000 0.500
0.500 0.000 0.882
0.000 0.000 0.000
0.500 0.000 0.616
0.500 0.500 0.000
0.000 0.500 0.384
0.000 0.500 0.759
0.500 0.000 0.241
0.500 0.500 0.500
```



No. 2
Y2Al2CdPt5 | PBE-GGA | relaxed

Summary:
volume: 18.2 Å³/atom
formation energy from the elements: -9.25 eV per formula unit
theoretical density: 12.011 g cm⁻³
DOS at the Fermi energy: 4.51 states/eV/f.u.
SG: P4/mbm (127)
magnetization: 0.000 μB per atom

The structure in POSCAR format:
```
Y2Al2CdPt5
1.0
-1.715 1.850 2.782
-8.639 -3.861 -2.760
1.501 -7.661 6.019
Pt Y Al Cd
10 4 4 2
Direct
0.500 0.287 0.567
0.500 0.213 0.067
0.500 0.567 0.713
0.500 0.787 0.933
0.500 0.713 0.433
0.500 0.500 0.000
0.500 0.000 0.500
0.500 0.067 0.787
0.500 0.433 0.287
0.500 0.933 0.213
0.000 0.678 0.178
0.000 0.822 0.678
0.000 0.322 0.822
0.000 0.178 0.322
0.000 0.120 0.620
0.000 0.620 0.880
0.000 0.380 0.120
0.000 0.880 0.380
0.000 0.000 0.000
0.000 0.500 0.500
```